Record 1
Below is an optimized crystal structure of Tl2HgI6, with properties calculated at the PBE level.

Cell and atoms, written as extended XYZ:
```
18
Lattice="8.1914 -7.1522 0.0000 8.1914 7.1522 0.0000 -4.4837 0.0000 7.8451" Properties=species:S:1:pos:R:3 pbc="T T T"
Tl 3.2372 1.3350 0.4636
Tl 0.9953 -1.3350 4.3862
Tl 10.9038 1.3350 3.4589
Tl 8.6619 -1.3350 7.3814
Hg 7.0705 2.1890 1.9613
Hg 4.8286 -2.1890 5.8838
I 3.4249 5.9221 6.1515
I 4.7321 3.8158 2.2124
I 6.2323 5.9221 5.6161
I 1.7325 0.5016 7.6324
I 9.4088 3.8158 1.7101
I 3.9744 -0.5016 3.7099
I 7.9247 0.5016 4.1352
I 2.4903 -3.8158 6.1349
I 10.1666 -0.5016 0.2127
I 5.6667 -5.9221 2.2289
I 7.1670 -3.8158 5.6327
I 8.4742 -5.9221 1.6936
```

**V**: 919 Å³ per cell
**Formation energy (no corrections)**: -0.332 eV per atom
**ρ**: 4.95 Mg/m³


Record 2
Below is an optimized crystal structure of Tl4Hg12I, with properties calculated at the PBE level.

Cell and atoms, written as extended XYZ:
```
17
Lattice="-6.0383 6.0383 6.0383 6.0383 -6.0383 6.0383 6.0383 6.0383 -6.0383" Properties=species:S:1:pos:R:3 pbc="T T T"
Tl 3.0191 3.0191 -3.0191
Tl 3.0191 -3.0191 3.0191
Tl -3.0191 3.0191 3.0191
Tl 3.0191 3.0191 3.0191
Hg 6.0383 -3.3537 3.3990
Hg 2.6846 2.6392 0.0000
Hg 9.3919 2.6392 0.0000
Hg 3.3990 6.0383 -3.3537
Hg 2.6392 0.0000 2.6846
Hg 0.0000 2.6846 2.6392
Hg 6.0383 3.3537 3.3990
Hg 3.3990 6.0383 3.3537
Hg 2.6392 0.0000 9.3919
Hg -3.3537 3.3990 6.0383
Hg 3.3537 3.3990 6.0383
Hg 0.0000 9.3919 2.6392
I 0.0000 0.0000 0.0000
```

**V**: 881 Å³ per cell
**Formation energy (no corrections)**: 0.066 eV per atom
**ρ**: 6.32 Mg/m³


Record 3
Below is an optimized crystal structure of Tl2Hg2I5, with properties calculated at the PBE level.

Cell and atoms, written as extended XYZ:
```
18
Lattice="-11.4273 4.3509 4.1943 11.4273 -4.3509 4.1943 11.4273 4.3509 -4.1943" Properties=species:S:1:pos:R:3 pbc="T T T"
Tl 2.2500 0.3981 0.0000
Tl 9.1773 0.3981 0.0000
Tl 2.2500 3.9528 4.1943
Tl 9.1773 3.9528 4.1943
Hg 5.7136 -0.6658 4.1966
Hg 0.0000 4.3509 0.3618
Hg 0.0000 0.0000 4.5561
Hg 5.7136 5.0167 0.0023
I 5.7136 -0.9944 1.2382
I 11.6496 2.1986 -1.7439
I 11.2049 -2.1522 2.4504
I 17.1409 0.9944 1.2382
I 3.3799 3.5966 0.8800
I 8.0473 3.5966 0.8800
I -0.2224 2.1522 2.4504
I 11.6496 2.1522 2.4504
I 3.3799 0.7542 5.0744
I 8.0473 0.7542 5.0744
```

**V**: 834 Å³ per cell
**Formation energy (no corrections)**: -0.387 eV per atom
**ρ**: 5.75 Mg/m³


Record 4
Below is an optimized crystal structure of Tl5Hg2I5, with properties calculated at the PBE level.

Cell and atoms, written as extended XYZ:
```
12
Lattice="-5.6110 5.6110 4.3327 5.6110 -5.6110 4.3327 5.6110 5.6110 -4.3327" Properties=species:S:1:pos:R:3 pbc="T T T"
Tl 0.0000 0.0000 0.0000
Tl 5.6110 2.5379 -0.6564
Tl 2.5379 5.6110 -0.6564
Tl 3.0731 0.0000 3.6763
Tl 0.0000 3.0731 3.6763
Hg 5.6110 0.0000 1.5450
Hg 0.0000 5.6110 1.5450
I 2.3062 2.3062 1.3082
I 3.3048 -3.3048 5.6409
I 0.0000 0.0000 5.0194
I -3.3048 3.3048 5.6409
I 3.3048 3.3048 5.6409
```

**V**: 546 Å³ per cell
**Formation energy (no corrections)**: -0.484 eV per atom
**ρ**: 6.26 Mg/m³


Record 5
Below is an optimized crystal structure of TlHgI4, with properties calculated at the PBE level.

Cell and atoms, written as extended XYZ:
```
12
Lattice="4.7556 -12.8693 0.0000 4.7556 12.8693 0.0000 -4.7530 0.0000 4.7554" Properties=species:S:1:pos:R:3 pbc="T T T"
Tl 1.1908 9.6491 3.5665
Tl 3.5673 -9.6491 1.1888
Hg 3.5673 3.2164 1.1888
Hg 1.1908 -3.2164 3.5665
I -1.2911 5.0205 3.7235
I 1.3449 1.4162 1.2925
I -1.0316 -1.4162 3.6702
I 1.0854 -5.0205 1.3458
I 3.6727 5.0205 3.4096
I 5.7897 1.4162 1.0851
I 3.4132 -1.4162 3.4628
I 6.0492 -5.0205 1.0319
```

**V**: 582 Å³ per cell
**Formation energy (no corrections)**: -0.283 eV per atom
**ρ**: 5.21 Mg/m³


Record 6
Below is an optimized crystal structure of TlHgI, with properties calculated at the PBE level.

Cell and atoms, written as extended XYZ:
```
6
Lattice="7.0303 -2.5686 0.0000 7.0303 2.5686 0.0000 -0.0172 0.0000 6.9101" Properties=species:S:1:pos:R:3 pbc="T T T"
Tl 2.3856 0.0000 1.7253
Tl 11.6576 0.0000 5.1847
Hg 6.8167 0.0000 5.1807
Hg 7.2266 0.0000 1.7294
I 2.3501 0.0000 5.1801
I 11.6932 0.0000 1.7300
```

**V**: 250 Å³ per cell
**Formation energy (no corrections)**: -0.398 eV per atom
**ρ**: 7.08 Mg/m³


The highest ρ belongs to which entry? TlHgI


What is the formula in the sixth record? TlHgI


Which value of V does entry 2 give? 881 Å³ per cell